No. 1
Computed, not measured: crystalline Hf5Bi6 at its relaxed geometry at the PBE-GGA level of DFT.

E_tot (eV for the cell shown): -146.704
Energy of formation (eV per atom): -0.0272

Lattice parameters (Å, degrees): 7.2624 12.4024 7.1795 90.00 109.43 90.00
With the nearest neighbours (Å) after each atom.
Space group C2/m (No. 12)
Symmetry-distinct sites (fractional):
Hf: 0.0000 0.0000 0.0000 x2  6 Bi 2.96-3.08
Hf: 0.0000 0.1607 0.5000 x4  6 Bi 2.96-2.99
Hf: 0.0000 0.3182 0.0000 x4  6 Bi 2.96-3.04
Bi: 0.2276 0.3461 0.7300 x8  5 Hf 2.96-3.04
Bi: 0.2276 0.5000 0.2493 x4  5 Hf 2.96-3.08

---

No. 2
Computed, not measured: crystalline HfBi3 at its relaxed geometry at the PBE-GGA level of DFT.

E_tot (eV for the cell shown): -42.950
Energy of formation (eV per atom): 0.0303

Lattice parameters (Å, degrees): 3.8228 9.6548 6.2676 90.00 90.00 90.00
With the nearest neighbours (Å) after each atom.
Space group Imm2 (No. 44)
Symmetry-distinct sites (fractional):
Hf: 0.0000 0.0000 0.0000 x2  8 Bi 2.98-3.23
Bi: 0.0000 0.2956 0.7574 x4  1 Bi 3.08, 3 Hf 3.19-3.23
Bi: 0.0000 0.5000 0.1351 x2  2 Hf 2.98, 2 Bi 3.08

---

No. 3
Computed, not measured: crystalline HfBi3 at its relaxed geometry at the PBE-GGA level of DFT.

E_tot (eV for the cell shown): -87.226
Energy of formation (eV per atom): -0.0525

Lattice parameters (Å, degrees): 4.1556 10.8337 10.1649 90.00 90.00 90.00
With the nearest neighbours (Å) after each atom.
Space group Cmcm (No. 63)
Symmetry-distinct sites (fractional):
Hf: 0.0000 0.2377 0.2500 x4  9 Bi 3.06-3.19
Bi: 0.0000 0.0544 0.7500 x4  3 Hf 3.06-3.16
Bi: 0.0000 0.3578 0.5363 x8  3 Bi 3.17-3.21, 3 Hf 3.18-3.19

---

No. 4
Computed, not measured: crystalline Hf8Bi at its relaxed geometry at the PBE-GGA level of DFT.

E_tot (eV for the cell shown): -167.680
Energy of formation (eV per atom): -0.0368

Lattice parameters (Å, degrees): 9.8241 9.8241 4.2399 90.00 90.00 90.00
With the nearest neighbours (Å) after each atom.
Space group I4/mmm (No. 139)
Symmetry-distinct sites (fractional):
Hf: 0.0000 0.3389 0.0000 x8  11 Hf 3.08-3.21, 1 Bi 3.33
Hf: 0.1731 0.1731 0.5000 x8  8 Hf 3.01-3.21, 2 Bi 3.21
Bi: 0.0000 0.0000 0.0000 x2  12 Hf 3.21-3.33

---

No. 5
Computed, not measured: crystalline Hf2Bi3 at its relaxed geometry at the PBE-GGA level of DFT.

Energy relative to the lowest polymorph listed for this composition (meV per atom): 0
E_tot (eV for the cell shown): -62.996
Energy of formation (eV per atom): 0.0104

Lattice parameters (Å, degrees): 7.4024 3.7944 10.9105 90.00 106.50 90.00
With the nearest neighbours (Å) after each atom.
Space group P2_1/m (No. 11)
Symmetry-distinct sites (fractional):
Hf: 0.1005 0.2500 0.1490 x2  6 Bi 2.97-3.04
Hf: 0.2612 0.2500 0.4924 x2  6 Bi 2.99-3.05
Bi: 0.0198 0.2500 0.6770 x2  5 Hf 2.99-3.05
Bi: 0.2981 0.7500 0.0120 x2  3 Hf 2.97-3.04
Bi: 0.4929 0.7500 0.6851 x2  4 Hf 2.99-3.04

---

No. 6
Computed, not measured: crystalline Hf5Bi at its relaxed geometry at the PBE-GGA level of DFT.

Energy relative to the lowest polymorph listed for this composition (meV per atom): 97
E_tot (eV for the cell shown): -106.531
Energy of formation (eV per atom): 0.0638

Lattice parameters (Å, degrees): 5.3220 9.8054 5.2799 90.00 90.00 90.00
With the nearest neighbours (Å) after each atom.
Space group Cmmm (No. 65)
Symmetry-distinct sites (fractional):
Hf: 0.0000 0.0000 0.0000 x2  10 Hf 3.06-3.19
Hf: 0.0000 0.1575 0.5000 x4  7 Hf 3.06-3.22, 3 Bi 3.08-3.36
Hf: 0.0000 0.3214 0.0000 x4  7 Hf 3.01-3.19, 2 Bi 3.17
Bi: 0.0000 0.5000 0.5000 x2  10 Hf 3.08-3.36

---

No. 7
Computed, not measured: crystalline Hf3HgBi at its relaxed geometry at the PBE-GGA level of DFT.

Energy relative to the lowest polymorph listed for this composition (meV per atom): 0
E_tot (eV for the cell shown): -273.407
Energy of formation (eV per atom): -0.0266

Lattice parameters (Å, degrees): 13.6735 9.1225 9.7727 90.00 131.21 90.00
With the nearest neighbours (Å) after each atom.
Space group C2/c (No. 15)
Symmetry-distinct sites (fractional):
Hf: 0.0957 0.1139 0.1415 x8  3 Hg 2.93-3.12, 5 Hf 3.05-3.23, 2 Bi 3.15-3.22
Hf: 0.1086 0.3551 0.6574 x8  4 Bi 3.04-3.26, 4 Hf 3.11-3.25, 2 Hg 3.17-3.21
Hf: 0.2157 0.1192 0.5568 x8  3 Hg 3.02-3.19, 7 Hf 3.03-3.35, 2 Bi 3.04-3.11
Hg: 0.0000 0.1033 0.7500 x4  8 Hf 2.93-3.19
Hg: 0.0000 0.3422 0.2500 x4  8 Hf 3.00-3.21
Bi: 0.1871 0.3864 0.0520 x8  8 Hf 3.04-3.26, 2 Hg 3.34-3.38

---

No. 8
Computed, not measured: crystalline HfHg2Bi at its relaxed geometry at the PBE-GGA level of DFT.

E_tot (eV for the cell shown): -39.208
Energy of formation (eV per atom): 0.3422

Lattice parameters (Å, degrees): 3.3310 3.3310 33.9501 90.00 90.00 120.00
With the nearest neighbours (Å) after each atom.
Space group R-3m (No. 166, hexagonal axes)
Symmetry-distinct sites (fractional):
Hf: 0.0000 0.0000 0.0000 x3  2 Hg 2.84
Hg: 0.0000 0.0000 0.0837 x6  1 Hf 2.84
Bi: 0.0000 0.0000 0.5000 x3  6 Bi 3.33, 6 Hg 3.41

---

Going through the records in order, we get N(E_F) values of 0.377 0.410 0.554 1.094 0.650 1.545 0.653 0.616 states/eV per atom.